Computed, not measured: a crystal of CoSb3 relaxed with PBEsol at the SCAN level of DFT.

Summary:
- calculated total energy (eV/cell) = -255.21
- energy relative to the lowest polymorph listed for this composition (meV/atom) = 540

CIF file:
```
data_CoSb3
_chemical_formula_sum 'Co2 Sb6'
_cell_length_a 5.705
_cell_length_b 5.705
_cell_length_c 5.705
_cell_angle_alpha 90.00
_cell_angle_beta 90.00
_cell_angle_gamma 90.00
_symmetry_space_group_name_H-M 'I m -3 m'
_symmetry_Int_Tables_number 229
_symmetry_space_group_name_Hall '-I 4 2 3'
loop_
_atom_site_label
_atom_site_type_symbol
_atom_site_fract_x
_atom_site_fract_y
_atom_site_fract_z
Co1 Co 0.000 0.000 0.000
Sb1 Sb 0.000 0.000 0.500
```

Computed, not measured: a crystal of BaBe2Co relaxed with PBEsol at the SCAN level of DFT.

Summary:
- formation energy from the elements (eV/atom) = 1.297
- calculated total energy (eV/cell) = -120.75

CIF file:
```
data_BaBe2Co
_chemical_formula_sum 'Ba2 Be4 Co2'
_cell_length_a 5.184
_cell_length_b 7.925
_cell_length_c 3.088
_cell_angle_alpha 90.00
_cell_angle_beta 90.16
_cell_angle_gamma 90.00
_symmetry_space_group_name_H-M 'C 1 2/m 1'
_symmetry_Int_Tables_number 12
_symmetry_space_group_name_Hall '-C 2y'
loop_
_atom_site_label
_atom_site_type_symbol
_atom_site_fract_x
_atom_site_fract_y
_atom_site_fract_z
Ba1 Ba 0.000 0.000 0.000
Be1 Be 0.250 0.250 0.500
Co1 Co 0.000 0.500 0.000
```

Computed, not measured: a crystal of Y3BeRh relaxed with PBEsol at the SCAN level of DFT.

Summary:
- formation energy from the elements (eV/atom) = 0.052
- calculated total energy (eV/cell) = -121.39
- energy relative to the lowest polymorph listed for this composition (meV/atom) = 0

CIF file:
```
data_Y3BeRh
_chemical_formula_sum 'Y3 Be1 Rh1'
_cell_length_a 5.213
_cell_length_b 5.213
_cell_length_c 5.213
_cell_angle_alpha 90.00
_cell_angle_beta 90.00
_cell_angle_gamma 90.00
_symmetry_space_group_name_H-M 'P m -3 m'
_symmetry_Int_Tables_number 221
_symmetry_space_group_name_Hall '-P 4 2 3'
loop_
_atom_site_label
_atom_site_type_symbol
_atom_site_fract_x
_atom_site_fract_y
_atom_site_fract_z
Y1 Y 0.000 0.000 0.500
Be1 Be 0.500 0.500 0.500
Rh1 Rh 0.000 0.000 0.000
```

Computed, not measured: a crystal of ScMoAu2 relaxed with PBEsol at the SCAN level of DFT.

Summary:
- formation energy from the elements (eV/atom) = -0.260
- calculated total energy (eV/cell) = -188.48
- energy relative to the lowest polymorph listed for this composition (meV/atom) = 41

CIF file:
```
data_ScMoAu2
_chemical_formula_sum 'Sc1 Mo1 Au2'
_cell_length_a 2.909
_cell_length_b 2.909
_cell_length_c 8.020
_cell_angle_alpha 90.00
_cell_angle_beta 90.00
_cell_angle_gamma 90.00
_symmetry_space_group_name_H-M 'P 4/m m m'
_symmetry_Int_Tables_number 123
_symmetry_space_group_name_Hall '-P 4 2'
loop_
_atom_site_label
_atom_site_type_symbol
_atom_site_fract_x
_atom_site_fract_y
_atom_site_fract_z
Sc1 Sc 0.000 0.000 0.000
Mo1 Mo 0.000 0.000 0.500
Au1 Au 0.500 0.500 0.256
```

Computed, not measured: a crystal of Cd3Ag relaxed with PBEsol at the SCAN level of DFT.

Summary:
- formation energy from the elements (eV/atom) = 0.004
- calculated total energy (eV/cell) = -245.19

CIF file:
```
data_Cd3Ag
_chemical_formula_sum 'Cd6 Ag2'
_cell_length_a 3.467
_cell_length_b 4.688
_cell_length_c 9.413
_cell_angle_alpha 90.00
_cell_angle_beta 90.00
_cell_angle_gamma 90.00
_symmetry_space_group_name_H-M 'I m m m'
_symmetry_Int_Tables_number 71
_symmetry_space_group_name_Hall '-I 2 2'
loop_
_atom_site_label
_atom_site_type_symbol
_atom_site_fract_x
_atom_site_fract_y
_atom_site_fract_z
Cd1 Cd 0.000 0.000 0.000
Cd2 Cd 0.000 0.500 0.241
Ag1 Ag 0.000 0.000 0.500
```

Computed, not measured: a crystal of Fe2AgRu relaxed with PBEsol at the SCAN level of DFT.

Summary:
- formation energy from the elements (eV/atom) = 0.378
- calculated total energy (eV/cell) = -201.88
- energy relative to the lowest polymorph listed for this composition (meV/atom) = 94

CIF file:
```
data_Fe2AgRu
_chemical_formula_sum 'Fe4 Ag2 Ru2'
_cell_length_a 3.721
_cell_length_b 3.721
_cell_length_c 7.469
_cell_angle_alpha 90.00
_cell_angle_beta 90.00
_cell_angle_gamma 90.00
_symmetry_space_group_name_H-M 'I -4 m 2'
_symmetry_Int_Tables_number 119
_symmetry_space_group_name_Hall 'I -4 -2'
loop_
_atom_site_label
_atom_site_type_symbol
_atom_site_fract_x
_atom_site_fract_y
_atom_site_fract_z
Fe1 Fe 0.000 0.000 0.000
Fe2 Fe 0.000 0.500 0.250
Ag1 Ag 0.000 0.500 0.750
Ru1 Ru 0.000 0.000 0.500
```

Computed, not measured: a crystal of KCl relaxed with PBEsol at the SCAN level of DFT.

Summary:
- calculated total energy (eV/cell) = -123.33

CIF file:
```
data_KCl
_chemical_formula_sum 'K6 Cl6'
_cell_length_a 11.429
_cell_length_b 3.950
_cell_length_c 8.188
_cell_angle_alpha 90.00
_cell_angle_beta 110.21
_cell_angle_gamma 90.00
_symmetry_space_group_name_H-M 'C 1 m 1'
_symmetry_Int_Tables_number 8
_symmetry_space_group_name_Hall 'C -2y'
loop_
_atom_site_label
_atom_site_type_symbol
_atom_site_fract_x
_atom_site_fract_y
_atom_site_fract_z
K1 K 0.000 0.000 0.000
K2 K 0.141 0.000 0.660
K3 K 0.305 0.000 0.301
Cl1 Cl 0.087 0.500 0.333
Cl2 Cl 0.233 0.500 0.992
Cl3 Cl 0.419 0.000 0.688
```

Computed, not measured: a crystal of AlSb2Pb relaxed with PBEsol at the SCAN level of DFT.

Summary:
- calculated total energy (eV/cell) = -473.89
- energy relative to the lowest polymorph listed for this composition (meV/atom) = 0

CIF file:
```
data_AlSb2Pb
_chemical_formula_sum 'Al3 Sb6 Pb3'
_cell_length_a 4.1644
_cell_length_b 4.1644
_cell_length_c 21.3247
_cell_angle_alpha 90.00
_cell_angle_beta 90.00
_cell_angle_gamma 120.00
_symmetry_space_group_name_H-M 'R -3 m'
_symmetry_Int_Tables_number 166
_symmetry_space_group_name_Hall '-R 3 2"'
loop_
_atom_site_label
_atom_site_type_symbol
_atom_site_fract_x
_atom_site_fract_y
_atom_site_fract_z
Al1 Al 0.0000 0.0000 0.0000
Sb1 Sb 0.0000 0.0000 0.2631
Pb1 Pb 0.0000 0.0000 0.5000
```

Computed, not measured: a crystal of SrCrIr2 relaxed with PBEsol at the SCAN level of DFT.

Summary:
- formation energy from the elements (eV/atom) = 0.275
- calculated total energy (eV/cell) = -181.76
- energy relative to the lowest polymorph listed for this composition (meV/atom) = 335

CIF file:
```
data_SrCrIr2
_chemical_formula_sum 'Sr1 Cr1 Ir2'
_cell_length_a 2.766
_cell_length_b 3.843
_cell_length_c 6.819
_cell_angle_alpha 90.00
_cell_angle_beta 90.00
_cell_angle_gamma 90.00
_symmetry_space_group_name_H-M 'P m m 2'
_symmetry_Int_Tables_number 25
_symmetry_space_group_name_Hall 'P 2 -2'
loop_
_atom_site_label
_atom_site_type_symbol
_atom_site_fract_x
_atom_site_fract_y
_atom_site_fract_z
Sr1 Sr 0.000 0.000 0.000
Cr1 Cr 0.500 0.500 0.358
Ir1 Ir 0.000 0.000 0.488
Ir2 Ir 0.500 0.500 0.706
```

Computed, not measured: a crystal of Ca2SiO4F relaxed with PBEsol at the SCAN level of DFT.

Summary:
- calculated total energy (eV/cell) = -332.15

CIF file:
```
data_Ca2SiO4F
_chemical_formula_sum 'Ca8 Si4 O16 F4'
_cell_length_a 5.913
_cell_length_b 10.521
_cell_length_c 6.558
_cell_angle_alpha 90.00
_cell_angle_beta 99.31
_cell_angle_gamma 90.00
_symmetry_space_group_name_H-M 'P 1 21/c 1'
_symmetry_Int_Tables_number 14
_symmetry_space_group_name_Hall '-P 2ybc'
loop_
_atom_site_label
_atom_site_type_symbol
_atom_site_fract_x
_atom_site_fract_y
_atom_site_fract_z
Ca1 Ca 0.191 0.189 0.166
Ca2 Ca 0.264 0.585 0.062
Si1 Si 0.334 0.629 0.614
O1 O 0.142 0.712 0.721
O2 O 0.172 0.584 0.396
O3 O 0.400 0.504 0.757
O4 O 0.460 0.223 0.923
F1 F 0.126 0.114 0.505
```

Computed, not measured: a crystal of Li2LaSi2 relaxed with PBEsol at the SCAN level of DFT.

Summary:
- calculated total energy (eV/cell) = -141.06
- energy relative to the lowest polymorph listed for this composition (meV/atom) = 0

CIF file:
```
data_Li2LaSi2
_chemical_formula_sum 'Li4 La2 Si4'
_cell_length_a 4.191
_cell_length_b 4.191
_cell_length_c 10.946
_cell_angle_alpha 90.00
_cell_angle_beta 90.00
_cell_angle_gamma 90.00
_symmetry_space_group_name_H-M 'I 4/m m m'
_symmetry_Int_Tables_number 139
_symmetry_space_group_name_Hall '-I 4 2'
loop_
_atom_site_label
_atom_site_type_symbol
_atom_site_fract_x
_atom_site_fract_y
_atom_site_fract_z
Li1 Li 0.000 0.500 0.250
La1 La 0.000 0.000 0.000
Si1 Si 0.000 0.000 0.394
```

Computed, not measured: a crystal of K3BiH relaxed with PBEsol at the SCAN level of DFT.

Summary:
- calculated total energy (eV/cell) = -108.69

CIF file:
```
data_K3BiH
_chemical_formula_sum 'K3 Bi1 H1'
_cell_length_a 5.421
_cell_length_b 5.421
_cell_length_c 5.421
_cell_angle_alpha 90.00
_cell_angle_beta 90.00
_cell_angle_gamma 90.00
_symmetry_space_group_name_H-M 'P m -3 m'
_symmetry_Int_Tables_number 221
_symmetry_space_group_name_Hall '-P 4 2 3'
loop_
_atom_site_label
_atom_site_type_symbol
_atom_site_fract_x
_atom_site_fract_y
_atom_site_fract_z
K1 K 0.000 0.000 0.500
Bi1 Bi 0.500 0.500 0.500
H1 H 0.000 0.000 0.000
```